1.
Below is an optimized crystal structure of AcPm3Ho4, with properties calculated at the PBE level.

a = 9.050 Å, b = 9.050 Å, c = 9.050 Å
α = 157.77°, β = 98.72°, γ = 85.56°
Fractional coordinates of all 8 atoms:
1 Ac 0.000 0.000 0.000
2 Pm 0.244 0.744 0.500
3 Pm 0.500 0.500 0.000
4 Pm 0.756 0.256 0.500
5 Ho 0.117 0.864 0.254
6 Ho 0.390 0.136 0.254
7 Ho 0.610 0.864 0.746
8 Ho 0.883 0.136 0.746

Summary:
The value obtained for the calculated volume is 34.1 Å³ per atom. For the energy relative to the lowest polymorph listed for this composition, the calculation gives 119 meV/atom. The density is 8.0 g cm⁻³. As for the space group: Immm.

=====

2.
Below is an optimized crystal structure of AcPm8Ho5, with properties calculated at the PBE level.

a = 8.623 Å, b = 8.623 Å, c = 8.623 Å
α = 111.56°, β = 111.56°, γ = 105.37°
Fractional coordinates of all 14 atoms:
1 Ac 0.000 0.000 0.000
2 Pm 0.093 0.333 0.426
3 Pm 0.179 0.426 0.896
4 Pm 0.333 0.907 0.240
5 Pm 0.530 0.283 0.104
6 Pm 0.574 0.470 0.753
7 Pm 0.667 0.092 0.760
8 Pm 0.717 0.821 0.247
9 Pm 0.908 0.667 0.574
10 Ho 0.205 0.027 0.589
11 Ho 0.384 0.795 0.821
12 Ho 0.437 0.616 0.411
13 Ho 0.750 0.250 0.500
14 Ho 0.973 0.563 0.179

Summary:
The value obtained for the calculated volume is 35.1 Å³ per atom. The density is 7.5 g cm⁻³. As for the space group: I-4.

=====

3.
Below is an optimized crystal structure of AcPm4Ho, with properties calculated at the PBE level.

a = 3.712 Å, b = 5.150 Å, c = 11.125 Å
α = 90.00°, β = 90.01°, γ = 90.00°
Fractional coordinates of all 6 atoms:
1 Ac 0.000 0.000 0.000
2 Pm 0.001 0.000 0.661
3 Pm 0.498 0.500 0.822
4 Pm 0.502 0.500 0.178
5 Pm 0.999 0.000 0.339
6 Ho 0.500 0.500 0.500

Summary:
The value obtained for the calculated volume is 35.5 Å³ per atom. For the energy relative to the lowest polymorph listed for this composition, the calculation gives 0 meV/atom. The density is 7.6 g cm⁻³. As for the space group: P2/m.

=====

4.
Below is an optimized crystal structure of Ac2Pm2Ho3, with properties calculated at the PBE level.

a = 5.781 Å, b = 3.575 Å, c = 12.516 Å
α = 90.00°, β = 103.35°, γ = 90.00°
Fractional coordinates of all 7 atoms:
1 Ac 0.077 0.000 0.154
2 Ac 0.923 0.000 0.846
3 Pm 0.349 0.500 0.697
4 Pm 0.651 0.500 0.303
5 Ho 0.218 0.000 0.435
6 Ho 0.500 0.000 0.000
7 Ho 0.782 0.000 0.565

Summary:
The value obtained for the calculated volume is 36.0 Å³ per atom. The density is 8.2 g cm⁻³. As for the space group: P2/m.

=====

5.
Below is an optimized crystal structure of AcPm12Ho3, with properties calculated at the PBE level.

a = 5.157 Å, b = 5.157 Å, c = 20.623 Å
α = 90.00°, β = 90.00°, γ = 90.00°
Fractional coordinates of all 16 atoms:
1 Ac 0.000 0.000 0.000
2 Pm 0.000 0.500 0.131
3 Pm 0.000 0.500 0.377
4 Pm 0.000 0.500 0.623
5 Pm 0.000 0.500 0.869
6 Pm 0.500 0.000 0.131
7 Pm 0.500 0.000 0.377
8 Pm 0.500 0.000 0.623
9 Pm 0.500 0.000 0.869
10 Pm 0.500 0.500 0.000
11 Pm 0.500 0.500 0.255
12 Pm 0.500 0.500 0.500
13 Pm 0.500 0.500 0.745
14 Ho 0.000 0.000 0.254
15 Ho 0.000 0.000 0.500
16 Ho 0.000 0.000 0.746

Summary:
The value obtained for the calculated volume is 34.3 Å³ per atom. The density is 7.5 g cm⁻³. As for the space group: P4/mmm.

=====

6.
Below is an optimized crystal structure of AcPm2Ho9, with properties calculated at the PBE level.

a = 5.066 Å, b = 5.066 Å, c = 15.211 Å
α = 90.00°, β = 90.00°, γ = 90.00°
Fractional coordinates of all 12 atoms:
1 Ac 0.000 0.000 0.000
2 Pm 0.000 0.000 0.335
3 Pm 0.000 0.000 0.665
4 Ho 0.000 0.500 0.173
5 Ho 0.000 0.500 0.500
6 Ho 0.000 0.500 0.827
7 Ho 0.500 0.000 0.173
8 Ho 0.500 0.000 0.500
9 Ho 0.500 0.000 0.827
10 Ho 0.500 0.500 0.000
11 Ho 0.500 0.500 0.336
12 Ho 0.500 0.500 0.664

Summary:
The value obtained for the calculated volume is 32.5 Å³ per atom. The density is 8.5 g cm⁻³. As for the space group: P4/mmm.

=====

7.
Below is an optimized crystal structure of Ac2Pm5Ho3, with properties calculated at the PBE level.

a = 9.059 Å, b = 9.059 Å, c = 10.212 Å
α = 100.82°, β = 100.82°, γ = 111.45°
Fractional coordinates of all 20 atoms:
1 Ac 0.138 0.359 0.002
2 Ac 0.359 0.138 0.502
3 Ac 0.641 0.862 0.498
4 Ac 0.862 0.641 0.998
5 Pm 0.028 0.280 0.597
6 Pm 0.035 0.965 0.750
7 Pm 0.251 0.749 0.750
8 Pm 0.280 0.028 0.097
9 Pm 0.471 0.529 0.750
10 Pm 0.529 0.471 0.250
11 Pm 0.720 0.972 0.903
12 Pm 0.749 0.251 0.250
13 Pm 0.965 0.035 0.250
14 Pm 0.972 0.720 0.403
15 Ho 0.221 0.466 0.408
16 Ho 0.256 0.744 0.250
17 Ho 0.466 0.221 0.908
18 Ho 0.534 0.779 0.092
19 Ho 0.744 0.256 0.750
20 Ho 0.779 0.534 0.592

Summary:
The value obtained for the calculated volume is 36.8 Å³ per atom. The density is 7.6 g cm⁻³. As for the space group: C2/c.

=====

8.
Below is an optimized crystal structure of Ac2Pm2Ho, with properties calculated at the PBE level.

a = 6.664 Å, b = 6.664 Å, c = 11.076 Å
α = 114.52°, β = 114.52°, γ = 64.31°
Fractional coordinates of all 10 atoms:
1 Ac 0.193 0.201 0.349
2 Ac 0.201 0.193 0.849
3 Ac 0.799 0.807 0.151
4 Ac 0.807 0.799 0.651
5 Pm 0.226 0.770 0.000
6 Pm 0.230 0.774 0.500
7 Pm 0.770 0.226 0.500
8 Pm 0.774 0.230 0.000
9 Ho 0.499 0.501 0.250
10 Ho 0.501 0.499 0.750

Summary:
The value obtained for the calculated volume is 38.6 Å³ per atom. For the energy relative to the lowest polymorph listed for this composition, the calculation gives 0 meV/atom. The density is 7.8 g cm⁻³. As for the space group: C2/c.

=====

9.
Below is an optimized crystal structure of Ac5Pm2Ho, with properties calculated at the PBE level.

a = 7.628 Å, b = 15.294 Å, c = 5.517 Å
α = 90.00°, β = 90.00°, γ = 90.00°
Fractional coordinates of all 16 atoms:
1 Ac 0.000 0.000 0.000
2 Ac 0.013 0.255 0.000
3 Ac 0.239 0.621 0.500
4 Ac 0.261 0.121 0.500
5 Ac 0.487 0.755 0.000
6 Ac 0.500 0.500 0.000
7 Ac 0.513 0.245 0.000
8 Ac 0.739 0.879 0.500
9 Ac 0.761 0.379 0.500
10 Ac 0.987 0.745 0.000
11 Pm 0.243 0.876 0.500
12 Pm 0.257 0.376 0.500
13 Pm 0.743 0.624 0.500
14 Pm 0.757 0.124 0.500
15 Ho 0.000 0.500 0.000
16 Ho 0.500 0.000 0.000

Summary:
The value obtained for the calculated volume is 40.2 Å³ per atom. The density is 8.2 g cm⁻³. As for the space group: Pbam.

=====

10.
Below is an optimized crystal structure of AcPm5Ho4, with properties calculated at the PBE level.

a = 3.657 Å, b = 3.657 Å, c = 25.404 Å
α = 90.00°, β = 90.00°, γ = 90.00°
Fractional coordinates of all 10 atoms:
1 Ac 0.000 0.000 0.000
2 Pm 0.500 0.500 0.110
3 Pm 0.500 0.500 0.305
4 Pm 0.500 0.500 0.500
5 Pm 0.500 0.500 0.695
6 Pm 0.500 0.500 0.890
7 Ho 0.000 0.000 0.208
8 Ho 0.000 0.000 0.403
9 Ho 0.000 0.000 0.597
10 Ho 0.000 0.000 0.792

Summary:
The value obtained for the calculated volume is 34.0 Å³ per atom. The density is 7.9 g cm⁻³. As for the space group: P4/mmm.

=====

11.
Below is an optimized crystal structure of AcPm12Ho7, with properties calculated at the PBE level.

a = 8.815 Å, b = 8.815 Å, c = 8.815 Å
α = 88.72°, β = 88.72°, γ = 88.72°
Fractional coordinates of all 20 atoms:
1 Ac 0.000 0.000 0.000
2 Pm 0.138 0.275 0.721
3 Pm 0.141 0.626 0.496
4 Pm 0.275 0.721 0.138
5 Pm 0.279 0.862 0.725
6 Pm 0.374 0.504 0.859
7 Pm 0.496 0.141 0.626
8 Pm 0.504 0.859 0.374
9 Pm 0.626 0.496 0.141
10 Pm 0.721 0.138 0.275
11 Pm 0.725 0.279 0.862
12 Pm 0.859 0.374 0.504
13 Pm 0.862 0.725 0.279
14 Ho 0.060 0.388 0.154
15 Ho 0.154 0.060 0.388
16 Ho 0.388 0.154 0.060
17 Ho 0.500 0.500 0.500
18 Ho 0.612 0.846 0.940
19 Ho 0.846 0.940 0.612
20 Ho 0.940 0.612 0.846

Summary:
The value obtained for the calculated volume is 34.2 Å³ per atom. For the energy relative to the lowest polymorph listed for this composition, the calculation gives 0 meV/atom. The density is 7.6 g cm⁻³. As for the space group: R-3.

=====

12.
Below is an optimized crystal structure of Ac2Pm8Ho3, with properties calculated at the PBE level.

a = 6.379 Å, b = 8.202 Å, c = 9.721 Å
α = 75.38°, β = 70.86°, γ = 75.13°
Fractional coordinates of all 13 atoms:
1 Ac 0.231 0.123 0.458
2 Ac 0.769 0.877 0.542
3 Pm 0.077 0.043 0.147
4 Pm 0.158 0.581 0.298
5 Pm 0.306 0.645 0.621
6 Pm 0.384 0.193 0.777
7 Pm 0.616 0.807 0.223
8 Pm 0.694 0.355 0.379
9 Pm 0.842 0.419 0.702
10 Pm 0.923 0.957 0.853
11 Ho 0.000 0.500 0.000
12 Ho 0.460 0.725 0.927
13 Ho 0.540 0.275 0.073

Summary:
The value obtained for the calculated volume is 35.1 Å³ per atom. The density is 7.7 g cm⁻³. As for the space group: P-1.

=====

13.
Below is an optimized crystal structure of AcPm4Ho3, with properties calculated at the PBE level.

a = 12.912 Å, b = 12.912 Å, c = 12.912 Å
α = 163.23°, β = 153.46°, γ = 31.56°
Fractional coordinates of all 8 atoms:
1 Ac 0.000 0.000 0.000
2 Pm 0.141 0.641 0.500
3 Pm 0.386 0.886 0.500
4 Pm 0.614 0.114 0.500
5 Pm 0.859 0.359 0.500
6 Ho 0.266 0.266 0.000
7 Ho 0.500 0.500 0.000
8 Ho 0.734 0.734 0.000

Summary:
The value obtained for the calculated volume is 34.7 Å³ per atom. For the energy relative to the lowest polymorph listed for this composition, the calculation gives 16 meV/atom. The density is 7.8 g cm⁻³. As for the space group: Immm.

=====

14.
Below is an optimized crystal structure of Ac6Pm5Ho2, with properties calculated at the PBE level.

a = 11.363 Å, b = 24.011 Å, c = 3.755 Å
α = 90.00°, β = 90.00°, γ = 90.00°
Fractional coordinates of all 26 atoms:
1 Ac 0.018 0.113 0.000
2 Ac 0.147 0.385 0.000
3 Ac 0.166 0.634 0.500
4 Ac 0.334 0.134 0.500
5 Ac 0.353 0.885 0.000
6 Ac 0.482 0.613 0.000
7 Ac 0.518 0.387 0.000
8 Ac 0.647 0.115 0.000
9 Ac 0.666 0.866 0.500
10 Ac 0.834 0.366 0.500
11 Ac 0.853 0.615 0.000
12 Ac 0.982 0.887 0.000
13 Pm 0.000 0.500 0.500
14 Pm 0.085 0.250 0.500
15 Pm 0.165 0.997 0.500
16 Pm 0.335 0.497 0.500
17 Pm 0.415 0.750 0.500
18 Pm 0.500 0.000 0.500
19 Pm 0.585 0.250 0.500
20 Pm 0.665 0.503 0.500
21 Pm 0.835 0.003 0.500
22 Pm 0.915 0.750 0.500
23 Ho 0.165 0.766 0.000
24 Ho 0.335 0.266 0.000
25 Ho 0.665 0.734 0.000
26 Ho 0.835 0.234 0.000

Summary:
The value obtained for the calculated volume is 39.4 Å³ per atom. The density is 7.8 g cm⁻³. As for the space group: Pbam.

=====

15.
Below is an optimized crystal structure of Ac15Pm4Ho, with properties calculated at the PBE level.

a = 5.526 Å, b = 5.526 Å, c = 27.506 Å
α = 90.00°, β = 90.00°, γ = 90.00°
Fractional coordinates of all 20 atoms:
1 Ac 0.000 0.000 0.000
2 Ac 0.000 0.000 0.199
3 Ac 0.000 0.000 0.400
4 Ac 0.000 0.000 0.600
5 Ac 0.000 0.000 0.801
6 Ac 0.000 0.500 0.099
7 Ac 0.000 0.500 0.299
8 Ac 0.000 0.500 0.500
9 Ac 0.000 0.500 0.701
10 Ac 0.000 0.500 0.901
11 Ac 0.500 0.000 0.099
12 Ac 0.500 0.000 0.299
13 Ac 0.500 0.000 0.500
14 Ac 0.500 0.000 0.701
15 Ac 0.500 0.000 0.901
16 Pm 0.500 0.500 0.199
17 Pm 0.500 0.500 0.400
18 Pm 0.500 0.500 0.600
19 Pm 0.500 0.500 0.801
20 Ho 0.500 0.500 0.000

Summary:
The value obtained for the calculated volume is 42.0 Å³ per atom. The density is 8.2 g cm⁻³. As for the space group: P4/mmm.

=====

16.
Below is an optimized crystal structure of Ac2Pm9Ho, with properties calculated at the PBE level.

a = 5.221 Å, b = 5.221 Å, c = 15.670 Å
α = 90.00°, β = 90.00°, γ = 90.00°
Fractional coordinates of all 12 atoms:
1 Ac 0.000 0.000 0.169
2 Ac 0.000 0.000 0.831
3 Pm 0.000 0.500 0.000
4 Pm 0.000 0.500 0.340
5 Pm 0.000 0.500 0.660
6 Pm 0.500 0.000 0.000
7 Pm 0.500 0.000 0.340
8 Pm 0.500 0.000 0.660
9 Pm 0.500 0.500 0.170
10 Pm 0.500 0.500 0.500
11 Pm 0.500 0.500 0.830
12 Ho 0.000 0.000 0.500

Summary:
The value obtained for the calculated volume is 35.6 Å³ per atom. The density is 7.5 g cm⁻³. As for the space group: P4/mmm.

=====

17.
Below is an optimized crystal structure of AcPm3Ho7, with properties calculated at the PBE level.

a = 7.115 Å, b = 7.115 Å, c = 8.766 Å
α = 90.00°, β = 90.00°, γ = 120.00°
Fractional coordinates of all 11 atoms:
1 Ac 0.000 0.000 0.000
2 Pm 0.336 0.168 0.658
3 Pm 0.832 0.168 0.658
4 Pm 0.832 0.664 0.658
5 Ho 0.167 0.334 0.329
6 Ho 0.167 0.833 0.329
7 Ho 0.501 0.002 0.001
8 Ho 0.501 0.499 0.001
9 Ho 0.666 0.833 0.329
10 Ho 0.667 0.333 0.324
11 Ho 0.998 0.499 0.001

Summary:
The value obtained for the calculated volume is 34.9 Å³ per atom. The density is 7.8 g cm⁻³. As for the space group: P3m1.

=====

18.
Below is an optimized crystal structure of AcPmHo2, with properties calculated at the PBE level.

a = 3.732 Å, b = 3.732 Å, c = 10.056 Å
α = 90.00°, β = 90.00°, γ = 90.00°
Fractional coordinates of all 4 atoms:
1 Ac 0.000 0.000 0.000
2 Pm 0.000 0.000 0.500
3 Ho 0.500 0.500 0.261
4 Ho 0.500 0.500 0.739

Summary:
The value obtained for the calculated volume is 35.0 Å³ per atom. For the energy relative to the lowest polymorph listed for this composition, the calculation gives 5 meV/atom. The density is 8.3 g cm⁻³. As for the space group: P4/mmm.

=====

19.
Below is an optimized crystal structure of Ac2Pm5Ho12, with properties calculated at the PBE level.

a = 7.002 Å, b = 8.008 Å, c = 12.245 Å
α = 88.07°, β = 82.26°, γ = 75.24°
Fractional coordinates of all 19 atoms:
1 Ac 0.226 0.069 0.048
2 Ac 0.774 0.931 0.952
3 Pm 0.069 0.319 0.541
4 Pm 0.247 0.569 0.981
5 Pm 0.500 0.500 0.500
6 Pm 0.753 0.431 0.019
7 Pm 0.931 0.681 0.459
8 Ho 0.005 0.235 0.802
9 Ho 0.133 0.629 0.722
10 Ho 0.157 0.991 0.376
11 Ho 0.347 0.375 0.246
12 Ho 0.366 0.947 0.624
13 Ho 0.489 0.269 0.786
14 Ho 0.511 0.731 0.214
15 Ho 0.634 0.053 0.376
16 Ho 0.653 0.625 0.754
17 Ho 0.843 0.009 0.624
18 Ho 0.867 0.371 0.278
19 Ho 0.995 0.765 0.198

Summary:
The value obtained for the calculated volume is 34.6 Å³ per atom. For the energy relative to the lowest polymorph listed for this composition, the calculation gives 0 meV/atom. The density is 8.0 g cm⁻³. As for the space group: P-1.

=====

Taking the records one at a time from the top gives DFT total energy values of -4.424 -4.398 -4.589 -4.325 -4.656 -4.531 -4.377 -4.241 -4.286 -4.586 -4.436 -4.576 -4.515 -4.274 -4.232 -4.599 -4.379 -4.450 -4.380 eV per atom.
Taking the records one at a time from the top gives formation energy values of 3.70 5.65 0.61 3.89 0.52 0.84 4.45 5.03 0.95 0.72 5.12 0.82 2.10 3.54 0.66 0.70 4.69 1.23 4.47 kcal/mol of atoms.